# 1
Below is ErPdO2 after structural relaxation, with properties calculated at the PBE level.

It has space group P3_221 (No. 154), with a = 3.4368 Å, b = 3.4368 Å, c = 18.4840 Å, α = 90.00°, β = 90.00° and γ = 120.00°. Symmetry generates all atoms from Er at (0.0000, 0.6708, 0.3333), Pd at (0.0000, 0.6646, 0.8333) and O at (0.0041, 0.6666, 0.7236).

The uncorrected formation energy is -8.8 eV per formula unit. The total magnetization is 0.0 μB/f.u. The value obtained for the distance to the lowest polymorph of the same formula is 0.0 kJ/mol of formula units. The total DFT energy (no corrections) is -7.11 eV/atom.



# 2
Below is Na2BeMo after structural relaxation, with properties calculated at the PBE level.

It has space group I-42d (No. 122), with a = 8.476 Å, b = 8.476 Å, c = 4.912 Å, α = 90.00°, β = 90.00° and γ = 90.00°. Symmetry generates all atoms from Na at (0.183, 0.750, 0.125), Be at (0.000, 0.000, 0.000) and Mo at (0.000, 0.000, 0.500).

The total magnetization is 3.4 μB/f.u. As for the formation energy: 1.329 eV per atom. The total DFT energy (no corrections) is -2.97 eV/atom.



What is the formula in the second record? Na2BeMo